1.
# SrZn2Fe GGA-PBE relaxed
data_SrZn2Fe
_chemical_formula_sum 'Sr2 Zn4 Fe2'
_space_group_name_H-M_alt 'P 1'
_space_group_IT_number 1
_cell_length_a 3.523
_cell_length_b 5.191
_cell_length_c 9.170
_cell_angle_alpha 90.00
_cell_angle_beta 90.00
_cell_angle_gamma 90.00
loop_
_space_group_symop_operation_xyz
'x,y,z'
loop_
_atom_site_label
_atom_site_fract_x
_atom_site_fract_y
_atom_site_fract_z
Sr1 0.000 0.000 0.000
Sr2 0.500 0.500 0.500
Zn1 0.000 0.000 0.486
Zn2 0.000 0.500 0.209
Zn3 0.500 0.000 0.709
Zn4 0.500 0.500 0.986
Fe1 0.000 0.500 0.788
Fe2 0.500 0.000 0.288
# Density of states at the Fermi level in states/eV per cell: 9.2
# Energy of formation from the pure elements in eV per atom: 0.384
# Space-group type: No. 44
# Energy in Ry per atom: -0.205

---

2.
# Zn3AsRu GGA-PBE relaxed
data_Zn3AsRu
_chemical_formula_sum 'Zn3 As1 Ru1'
_space_group_name_H-M_alt 'P 1'
_space_group_IT_number 1
_cell_length_a 4.691
_cell_length_b 4.691
_cell_length_c 4.691
_cell_angle_alpha 90.00
_cell_angle_beta 90.00
_cell_angle_gamma 90.00
loop_
_space_group_symop_operation_xyz
'x,y,z'
loop_
_atom_site_label
_atom_site_fract_x
_atom_site_fract_y
_atom_site_fract_z
Zn1 0.000 0.000 0.500
Zn2 0.000 0.500 0.000
Zn3 0.500 0.000 0.000
As1 0.000 0.000 0.000
Ru1 0.500 0.500 0.500
# Energy above the lowest structure with this stoichiometry in meV/atom: 310.5
# Density of states at the Fermi level in states/eV per cell: 5.2
# Energy of formation from the pure elements in eV per atom: 1.068
# Space-group type: No. 221
# Energy in Ry per atom: -0.182